Computed, not measured: a relaxed structure of Na2BeGeAu6 at the GGA-PBE level of DFT.

The structure in extended XYZ format:
```
10
Lattice="-4.425 -3.400 -3.562 4.147 0.424 -5.462 2.103 -5.524 -3.358" Properties=species:S:1:pos:R:3 pbc="T T T"
Na -0.776 -5.471 -6.024
Na 2.602 -3.029 -6.359
Be -0.139 -1.488 -4.512
Au 1.395 -7.605 -10.033
Au -2.048 -2.787 -4.286
Au 0.601 -3.469 -3.557
Au 0.430 -0.895 -2.349
Au 1.224 -5.031 -8.826
Au 3.873 -5.713 -8.096
Ge 0.000 0.000 0.000
```

Final energy ... -32.4 eV/cell
Space group ... No. 2
DOS at the Fermi energy ... 0.28 states/eV/atom
Energy of formation ... -179 meV/atom



Computed, not measured: a relaxed structure of Tb2CdIr2 at the GGA-PBE level of DFT.

The structure in extended XYZ format:
```
5
Lattice="4.086 0.004 1.738 1.507 4.901 2.116 0.055 0.243 5.542" Properties=species:S:1:pos:R:3 pbc="T T T"
Cd 2.797 2.453 1.927
Ir 1.227 4.033 5.615
Ir 4.422 1.116 3.781
Tb 1.545 1.194 4.873
Tb 4.104 3.955 4.523
```

Final energy ... -31.3 eV/cell
Space group ... No. 71
DOS at the Fermi energy ... 0.58 states/eV/atom
Energy of formation ... -684 meV/atom



Computed, not measured: a relaxed structure of CuHgPd14 at the GGA-PBE level of DFT.

The structure in extended XYZ format:
```
16
Lattice="-3.024 -3.644 -2.978 0.757 -0.791 5.486 -7.629 4.894 1.758" Properties=species:S:1:pos:R:3 pbc="T T T"
Pd -7.889 -0.001 2.131
Pd -6.362 1.788 3.612
Pd -1.926 -2.816 -0.520
Pd -0.418 -0.999 0.969
Pd -3.584 1.941 3.288
Pd -2.956 -0.256 0.014
Pd -1.547 -3.208 2.217
Pd -8.294 0.400 -0.589
Pd -4.720 -0.281 4.544
Pd -0.038 -1.391 3.706
Pd -2.600 -0.625 2.745
Pd -4.076 -2.447 1.253
Pd -4.431 -2.077 -1.479
Pd -6.768 2.190 0.892
Hg -3.206 1.544 6.034
Cu -5.099 0.115 1.796
```

Final energy ... -77.4 eV/cell
Space group ... No. 38
DOS at the Fermi energy ... 1.98 states/eV/atom
Energy of formation ... -17 meV/atom



Computed, not measured: a relaxed structure of MnCoAg2Pb at the GGA-PBE level of DFT.

The structure in extended XYZ format:
```
5
Lattice="4.907 0.000 0.000 0.000 4.466 0.000 0.000 0.000 4.907" Properties=species:S:1:pos:R:3 pbc="T T T"
Ag 2.454 0.000 0.000
Ag 0.000 0.000 2.454
Pb 2.454 2.233 2.454
Mn 0.000 2.233 0.000
Co 0.000 0.000 0.000
```

Final energy ... -22.2 eV/cell
Space group ... No. 123
DOS at the Fermi energy ... 0.48 states/eV/atom
Energy of formation ... 688 meV/atom



Computed, not measured: a relaxed structure of CaAcBe2Si2 at the GGA-PBE level of DFT.

The structure in extended XYZ format:
```
6
Lattice="-3.723 1.307 0.726 1.330 -3.350 1.763 3.005 4.777 6.810" Properties=species:S:1:pos:R:3 pbc="T T T"
Ca 1.502 2.388 3.405
Be -1.259 0.995 2.840
Be 1.870 1.739 6.459
Ac 0.000 0.000 0.000
Si 0.178 3.279 6.096
Si 0.433 -0.545 3.203
```

Final energy ... -26.8 eV/cell
Space group ... No. 164
Energy relative to the elements, uncorrected ... -2.343 eV per formula unit
DOS at the Fermi energy ... 0.49 states/eV/atom



Computed, not measured: a relaxed structure of BeAlHg2 at the GGA-PBE level of DFT.

The structure in extended XYZ format:
```
4
Lattice="-1.367 -0.811 -3.995 3.252 -2.020 -0.702 0.137 -5.365 1.043" Properties=species:S:1:pos:R:3 pbc="T T T"
Hg 3.022 -6.947 0.377
Hg 0.003 -2.138 -1.881
Al 2.235 -4.203 0.089
Be 1.845 -5.987 -1.729
```

Final energy ... -6.7 eV/cell
Space group ... No. 6
DOS at the Fermi energy ... 0.30 states/eV/atom
Energy of formation ... 333 meV/atom
Offset from the most stable computed form ... 0.107 eV per atom